# MgTcMo2

A relaxed structure of MgTcMo2 (PBE, Alexandria).

abc: 5.3245 8.9098 2.6870
angles: 90.00 90.00 90.00
Last column: nearest neighbours and their distance in Å.
Space group Cmmm (No. 65)
Unique sites:
1 Mg 0.0000 0.0000 0.0000 x2  2 Tc 2.66, 2 Mg 2.69, 8 Mo 2.92
2 Tc 0.0000 0.5000 0.0000 x2  2 Mg 2.66, 2 Tc 2.69, 8 Mo 2.92
3 Mo 0.2500 0.2500 0.5000 x4  4 Mo 2.66-2.69, 4 Tc 2.92, 4 Mg 2.92

Results
Formation energy ... 0.3428 eV/atom
D(E_F) ... 0.8614 states/eV per atom
Magnetic moment ... 0.00 μB/f.u.